# TbTlTe3Pd

A relaxed TbTlTe3Pd crystal (PBE, OQMD).

Distance to the lowest polymorph of the same formula (eV/f.u.): 0.11
E (eV/atom): -4.32

Cell: 8.963 4.216 10.924 Å, 90.00 112.14 90.00°
Fractional positions:
1 Pd 0.593 0.750 0.113
2 Pd 0.407 0.250 0.887
3 Tb 0.806 0.250 0.349
4 Tb 0.194 0.750 0.651
5 Te 0.721 0.250 0.038
6 Te 0.553 0.750 0.345
7 Te 0.060 0.750 0.351
8 Te 0.940 0.250 0.649
9 Te 0.447 0.250 0.655
10 Te 0.279 0.750 0.962
11 Tl 0.239 0.250 0.203
12 Tl 0.761 0.750 0.797